Record 1
Ca2HgPd9: optimized geometry, PBE.

Structure (POSCAR):
```
Ca2HgPd9
1.0
4.081 0.000 0.000
0.000 4.081 0.000
0.000 0.000 12.446
Pd Ca Hg
9 2 1
direct
0.500 0.000 0.838
0.000 0.500 0.838
0.500 0.500 0.333
0.500 0.000 0.500
0.000 0.500 0.162
0.500 0.500 0.000
0.500 0.000 0.162
0.500 0.500 0.667
0.000 0.500 0.500
0.000 0.000 0.669
0.000 0.000 0.331
0.000 0.000 0.000
```

Computed properties:
For the total magnetization, the calculation gives 0.00 μB/atom. The value obtained for the density of states at the Fermi level is 15.6 states/eV/f.u. The formation enthalpy at 0 K comes out at -4.30 eV/f.u. For the total energy, the calculation gives -4.6119 eV/atom.

---

Record 2
SbTe4Os: optimized geometry, PBE.

Structure (POSCAR):
```
SbTe4Os
1.0
0.000 4.385 4.385
4.385 0.000 4.385
4.385 4.385 0.000
Sb Te Os
1 4 1
direct
0.000 0.000 0.000
0.376 0.872 0.376
0.376 0.376 0.376
0.872 0.376 0.376
0.376 0.376 0.872
0.750 0.750 0.750
```

Computed properties:
For the total magnetization, the calculation gives 0.49 μB/atom. The value obtained for the density of states at the Fermi level is 6.6 states/eV/f.u. The value obtained for the energy relative to the elements, uncorrected is 1.377 eV/atom. For the total energy, the calculation gives -3.2763 eV/atom.

---

Record 3
Pr8Al2Hg: optimized geometry, PBE.

Structure (POSCAR):
```
Pr8Al2Hg
1.0
-1.542 -4.925 -0.238
6.612 -1.801 -5.557
1.898 1.694 8.713
Al Hg Pr
2 1 8
direct
0.195 0.695 0.390
0.805 0.305 0.610
0.500 0.000 0.000
0.000 0.679 0.000
0.340 0.120 0.680
0.660 0.441 0.320
0.857 0.857 0.714
0.660 0.880 0.320
0.143 0.143 0.286
0.000 0.321 0.000
0.340 0.559 0.680
```

Computed properties:
For the total magnetization, the calculation gives 0.00 μB/atom. The value obtained for the density of states at the Fermi level is 13.7 states/eV/f.u. The formation enthalpy at 0 K comes out at -1.63 eV/f.u. The excess energy over the best structure of this formula in the dataset comes out at 0.033 eV/atom. For the total energy, the calculation gives -4.3323 eV/atom.

---

Record 4
Ti2ZnO4: optimized geometry, PBE.

Structure (POSCAR):
```
Ti2ZnO4
1.0
2.953 0.000 0.000
0.000 9.487 0.000
0.000 0.000 10.715
Zn O Ti
4 16 8
direct
0.250 0.258 0.143
0.250 0.758 0.357
0.750 0.242 0.643
0.750 0.742 0.857
0.750 0.616 0.463
0.250 0.458 0.282
0.250 0.884 0.963
0.750 0.918 0.430
0.250 0.296 0.865
0.250 0.796 0.635
0.750 0.204 0.365
0.750 0.418 0.070
0.250 0.384 0.537
0.750 0.704 0.135
0.250 0.958 0.218
0.750 0.116 0.037
0.750 0.542 0.718
0.250 0.082 0.570
0.750 0.042 0.782
0.250 0.582 0.930
0.750 0.412 0.404
0.750 0.912 0.096
0.750 0.937 0.622
0.250 0.588 0.596
0.250 0.063 0.378
0.750 0.437 0.878
0.250 0.088 0.904
0.250 0.563 0.122
```

Computed properties:
For the total magnetization, the calculation gives 0.02 μB/atom. The value obtained for the density of states at the Fermi level is 3.8 states/eV/f.u. The value obtained for the energy relative to the elements, uncorrected is -2.314 eV/atom. The excess energy over the best structure of this formula in the dataset comes out at 0.152 eV/atom. For the total energy, the calculation gives -7.5848 eV/atom.

---

Record 5
CsRb2NaBr4: optimized geometry, PBE.

Structure (POSCAR):
```
CsRb2NaBr4
1.0
4.915 0.000 0.000
-2.458 8.279 0.000
0.000 0.000 17.071
Br Rb Cs Na
8 4 2 2
direct
0.736 0.473 0.873
0.264 0.527 0.127
0.441 0.882 0.750
0.736 0.473 0.627
0.264 0.527 0.373
0.559 0.118 0.250
0.000 0.000 0.500
0.000 0.000 0.000
0.632 0.265 0.048
0.632 0.265 0.452
0.368 0.735 0.952
0.368 0.735 0.548
0.882 0.763 0.250
0.118 0.237 0.750
0.150 0.301 0.250
0.850 0.699 0.750
```

Computed properties:
For the total magnetization, the calculation gives 0.02 μB/atom. The value obtained for the density of states at the Fermi level is 0.0 states/eV/f.u. The value obtained for the energy relative to the elements, uncorrected is -1.680 eV/atom. For the total energy, the calculation gives -3.0299 eV/atom.

---

Record 6
CsCaH2: optimized geometry, PBE.

Structure (POSCAR):
```
CsCaH2
1.0
-3.284 -1.948 0.095
-0.162 -3.541 -1.422
0.759 -4.706 6.503
H Cs Ca
2 1 1
direct
0.873 0.873 0.380
0.127 0.127 0.620
0.000 0.000 0.000
0.500 0.500 0.500
```

Computed properties:
For the total magnetization, the calculation gives 0.16 μB/atom. The value obtained for the density of states at the Fermi level is 2.6 states/eV/f.u. The excess energy over the best structure of this formula in the dataset comes out at 0.020 eV/atom. For the total energy, the calculation gives -2.5183 eV/atom.